(1)
Here is a geometry-optimized TbSmZr2 structure from Alexandria. Energies are from PBE.

Unit cell a=3.3635 b=3.3635 c=11.1913 alpha=81.36 beta=81.36 gamma=60.00
Last column: nearest neighbours and their distance in Å.
Element x y z (fractional)
Sm  0.0000  0.0000  0.0000  6 Sm 3.36, 6 Zr 3.38
Tb  0.5000  0.5000  0.5000  6 Zr 3.36, 6 Tb 3.36
Zr  0.7505  0.7505  0.7486  3 Tb 3.36, 6 Zr 3.36, 3 Sm 3.38
Zr  0.2495  0.2495  0.2514  3 Tb 3.36, 6 Zr 3.36, 3 Sm 3.38

(2)
Here is a geometry-optimized TbSmZr2 structure from Alexandria. Energies are from PBE.

Unit cell a=3.9607 b=3.9607 c=6.9196 alpha=90.00 beta=90.00 gamma=90.00
Last column: nearest neighbours and their distance in Å.
Element x y z (fractional)
Zr  0.0000  0.0000  0.2267  1 Zr 3.14, 4 Tb 3.21, 4 Sm 3.38
Zr  0.0000  0.0000  0.7733  1 Zr 3.14, 4 Tb 3.21, 4 Sm 3.38
Tb  0.5000  0.5000  0.0000  8 Zr 3.21, 2 Sm 3.46
Sm  0.5000  0.5000  0.5000  8 Zr 3.38, 2 Tb 3.46

Relative energies with respect to the most stable structure, expressed in kJ/mol of atoms: (1) 0.0; (2) 7.5.

(1)
Here is a geometry-optimized TbSm2Zr structure from Alexandria. Energies are from PBE.

Unit cell a=4.9041 b=4.9330 c=4.9330 alpha=90.00 beta=90.00 gamma=90.00
Last column: nearest neighbours and their distance in Å.
Element x y z (fractional)
Zr  0.5000  0.0000  0.0000  8 Sm 3.48, 4 Tb 3.49
Sm  0.0000  0.0000  0.5000  4 Zr 3.48, 4 Tb 3.48, 4 Sm 3.49
Sm  0.0000  0.5000  0.0000  4 Zr 3.48, 4 Tb 3.48, 4 Sm 3.49
Tb  0.5000  0.5000  0.5000  8 Sm 3.48, 4 Zr 3.49

(2)
Here is a geometry-optimized TbSm2Zr structure from Alexandria. Energies are from PBE.

Unit cell a=3.3999 b=3.3999 c=12.2531 alpha=82.03 beta=82.03 gamma=60.00
Last column: nearest neighbours and their distance in Å.
Element x y z (fractional)
Zr  0.0000  0.0000  0.0000  2 Sm 3.11, 6 Zr 3.40
Sm  0.9143  0.9143  0.2572  1 Zr 3.11, 6 Sm 3.40
Sm  0.0857  0.0857  0.7428  1 Zr 3.11, 6 Sm 3.40
Tb  0.5000  0.5000  0.5000  6 Tb 3.40, 6 Sm 3.53

Relative energies with respect to the most stable structure, expressed in kJ/mol of atoms: (1) 0.0; (2) 18.4.

(1)
Here is a geometry-optimized Tb8Sm2Zr structure from Alexandria. Energies are from PBE.

Unit cell a=6.6319 b=9.9481 c=9.9481 alpha=38.61 beta=61.08 gamma=61.08
Last column: nearest neighbours and their distance in Å.
Element x y z (fractional)
Tb  0.7303  0.5934  0.5934  8 Tb 3.43-3.83, 3 Sm 3.72-3.74, 2 Zr 3.73
Tb  0.1591  0.7552  0.7552  5 Tb 3.30-3.48, 2 Sm 3.34-3.57
Tb  0.7736  0.6634  0.1768  1 Zr 3.11, 5 Tb 3.20-3.48, 1 Sm 3.43
Tb  0.2264  0.8232  0.3366  1 Zr 3.11, 5 Tb 3.20-3.48, 1 Sm 3.43
Tb  0.2697  0.4066  0.4066  8 Tb 3.43-3.83, 3 Sm 3.72-3.74, 2 Zr 3.73
Tb  0.2264  0.3366  0.8232  1 Zr 3.11, 5 Tb 3.20-3.48, 1 Sm 3.43
Tb  0.8409  0.2448  0.2448  5 Tb 3.30-3.48, 2 Sm 3.34-3.57
Tb  0.7736  0.1768  0.6634  1 Zr 3.11, 5 Tb 3.20-3.48, 1 Sm 3.43
Sm  0.4473  0.1840  0.1840  9 Tb 3.34-3.74, 1 Zr 3.52
Sm  0.5527  0.8160  0.8160  9 Tb 3.34-3.74, 1 Zr 3.52
Zr  0.0000  0.0000  0.0000  4 Tb 3.11

(2)
Here is a geometry-optimized Tb8Sm2Zr structure from Alexandria. Energies are from PBE.

Unit cell a=4.9881 b=7.9166 c=9.3419 alpha=104.67 beta=105.48 gamma=90.00
Last column: nearest neighbours and their distance in Å.
Element x y z (fractional)
Sm  0.2260  0.6349  0.4519  2 Sm 3.54, 10 Tb 3.55-3.62
Sm  0.7740  0.3651  0.5481  2 Sm 3.54, 10 Tb 3.55-3.62
Tb  0.8688  0.8272  0.7376  7 Tb 3.40-3.66, 2 Zr 3.46, 3 Sm 3.61-3.62
Tb  0.9563  0.2636  0.9125  9 Tb 3.40-3.66, 2 Zr 3.47, 1 Sm 3.58
Tb  0.0437  0.7364  0.0875  9 Tb 3.40-3.66, 2 Zr 3.47, 1 Sm 3.58
Tb  0.4115  0.5572  0.8229  1 Zr 3.45, 8 Tb 3.48-3.64, 3 Sm 3.55-3.56
Tb  0.6783  0.9094  0.3566  1 Zr 3.47, 8 Tb 3.50-3.66, 3 Sm 3.56-3.57
Tb  0.5885  0.4428  0.1771  1 Zr 3.45, 8 Tb 3.48-3.64, 3 Sm 3.55-3.56
Tb  0.1312  0.1728  0.2624  7 Tb 3.40-3.66, 2 Zr 3.46, 3 Sm 3.61-3.62
Tb  0.3217  0.0906  0.6434  1 Zr 3.47, 8 Tb 3.50-3.66, 3 Sm 3.56-3.57
Zr  0.5000  0.0000  0.0000  12 Tb 3.45-3.47

Relative energies with respect to the most stable structure, expressed in kJ/mol of atoms: (1) 15.4; (2) 0.0.